{"formula": "KCrF3", "functional": "GGA+U", "state": "relaxed", "magnetic_moment_mub_per_atom": 0.800, "vol_a3_per_cell": 153.6, "total_energy_ha_per_atom": -0.20380, "cell": [[-4.536, -2.043, 3.305], [-2.568, -1.407, -5.206], [-1.685, -5.616, -0.809]], "species": ["F", "F", "F", "F", "F", "F", "K", "K", "Cr", "Cr"], "frac_coords": [[0.730, 0.270, 0.500], [0.270, 0.730, 0.500], [0.189, 0.189, 0.040], [0.708, 0.708, 0.585], [0.292, 0.292, 0.415], [0.811, 0.811, 0.960], [0.252, 0.748, 0.000], [0.748, 0.252, 0.000], [0.000, 0.000, 0.500], [0.500, 0.500, 0.500]]}